1.
This record from the Alexandria database describes a relaxed structure of FeW2Au. The functional is GGA-PBE.

abc: 3.257 3.257 5.858
angles: 90.00 90.00 90.00
Element x y z (fractional)
1 W 0.000 0.000 0.992
2 W 0.500 0.500 0.232
3 Au 0.000 0.000 0.516
4 Fe 0.500 0.500 0.760

Values from the calculation:
Polymorph energy (0 for the lowest one) in meV per atom: 73
V in Å³/atom: 15.5
Space-group type: No. 99

***

2.
This record from the Alexandria database describes a relaxed structure of FeW2Au. The functional is GGA-PBE.

abc: 4.778 4.778 4.778
angles: 130.43 130.38 72.76
Element x y z (fractional)
1 W 0.000 0.000 0.000
2 W 0.750 0.250 0.500
3 Au 0.500 0.500 0.000
4 Fe 0.250 0.750 0.500

Values from the calculation:
Polymorph energy (0 for the lowest one) in meV per atom: 160
V in Å³/atom: 15.4
Space-group type: No. 119

***

3.
This record from the Alexandria database describes a relaxed structure of FeW2Au. The functional is GGA-PBE.

abc: 4.461 4.461 4.461
angles: 60.00 60.00 60.00
Element x y z (fractional)
1 W 0.250 0.250 0.250
2 W 0.000 0.000 0.000
3 Au 0.500 0.500 0.500
4 Fe 0.750 0.750 0.750

Values from the calculation:
Polymorph energy (0 for the lowest one) in meV per atom: 278
V in Å³/atom: 15.7
Space-group type: No. 216

***

4.
This record from the Alexandria database describes a relaxed structure of FeW2Au. The functional is GGA-PBE.

abc: 2.728 2.728 8.814
angles: 90.00 90.00 107.37
Element x y z (fractional)
1 Au 0.000 0.000 0.511
2 W 0.000 0.000 0.988
3 W 0.500 0.500 0.241
4 Fe 0.500 0.500 0.759

Values from the calculation:
Polymorph energy (0 for the lowest one) in meV per atom: 0
V in Å³/atom: 15.6
Space-group type: No. 35